# 1
Entry from the Alexandria database: an optimized crystal structure of Rb2PdAu2 (PBE).

Computed properties:
ΔH_f (0 K) (eV per atom): 0.041
Offset from the most stable computed form (eV per atom): 0.231
Spin magnetization (μB per cell): 0.00

a = 3.8678 Å, b = 3.8678 Å, c = 20.7787 Å
α = 90.00°, β = 90.00°, γ = 90.00°
Sites, in units of the cell vectors:
1 Rb 0.0000 0.0000 0.1040
2 Rb 0.0000 0.0000 0.8960
3 Rb 0.5000 0.5000 0.3960
4 Rb 0.5000 0.5000 0.6040
5 Pd 0.0000 0.0000 0.5000
6 Pd 0.5000 0.5000 0.0000
7 Au 0.0000 0.5000 0.2500
8 Au 0.0000 0.5000 0.7500
9 Au 0.5000 0.0000 0.2500
10 Au 0.5000 0.0000 0.7500

# 2
Entry from the Alexandria database: an optimized crystal structure of RbPdAu2 (PBE).

Computed properties:
ΔH_f (0 K) (eV per atom): 0.350
Offset from the most stable computed form (eV per atom): 0.539
Spin magnetization (μB per cell): 0.00

a = 7.1850 Å, b = 7.1850 Å, c = 7.1850 Å
α = 90.00°, β = 90.00°, γ = 90.00°
Sites, in units of the cell vectors:
1 Rb 0.0000 0.0000 0.0000
2 Rb 0.0000 0.5000 0.5000
3 Rb 0.5000 0.0000 0.5000
4 Rb 0.5000 0.5000 0.0000
5 Pd 0.0000 0.0000 0.5000
6 Pd 0.0000 0.5000 0.0000
7 Pd 0.5000 0.0000 0.0000
8 Pd 0.5000 0.5000 0.5000
9 Au 0.2500 0.2500 0.2500
10 Au 0.2500 0.2500 0.7500
11 Au 0.2500 0.7500 0.2500
12 Au 0.2500 0.7500 0.7500
13 Au 0.7500 0.2500 0.2500
14 Au 0.7500 0.2500 0.7500
15 Au 0.7500 0.7500 0.2500
16 Au 0.7500 0.7500 0.7500

# 3
Entry from the Alexandria database: an optimized crystal structure of RbPdAu (PBE).

Computed properties:
ΔH_f (0 K) (eV per atom): -0.027
Offset from the most stable computed form (eV per atom): 0.135
Spin magnetization (μB per cell): 0.00

a = 4.5399 Å, b = 4.5399 Å, c = 5.1415 Å
α = 90.00°, β = 90.00°, γ = 120.00°
Sites, in units of the cell vectors:
1 Rb 0.0000 0.0000 0.0000
2 Pd 0.3333 0.6667 0.5000
3 Au 0.6667 0.3333 0.5000

# 4
Entry from the Alexandria database: an optimized crystal structure of RbPdAu3 (PBE).

Computed properties:
ΔH_f (0 K) (eV per atom): 0.140
Offset from the most stable computed form (eV per atom): 0.000
Spin magnetization (μB per cell): 0.00

a = 5.2046 Å, b = 5.2046 Å, c = 5.2046 Å
α = 90.00°, β = 90.00°, γ = 90.00°
Sites, in units of the cell vectors:
1 Rb 0.0000 0.0000 0.0000
2 Pd 0.5000 0.5000 0.5000
3 Au 0.0000 0.5000 0.5000
4 Au 0.5000 0.0000 0.5000
5 Au 0.5000 0.5000 0.0000

What is the formula in the second record?
RbPdAu2

Look up the offset from the most stable computed form of the fourth one.
0.000 eV per atom

Among the records above, which one has the lowest offset from the most stable computed form?
RbPdAu3